The following is a GGA+U calculation of a relaxed CoP2HO crystal, from Alexandria.

The structure in CIF format:
```
data_CoP2HO
_chemical_formula_sum 'Co1 P2 H1 O1'
_space_group_name_H-M_alt 'P 4/m m m'
_space_group_IT_number 123
_space_group_name_Hall '-P 4 2'
_cell_length_a 4.500
_cell_length_b 4.500
_cell_length_c 3.407
_cell_angle_alpha 90.00
_cell_angle_beta 90.00
_cell_angle_gamma 90.00
loop_
_atom_site_label
_atom_site_type_symbol
_atom_site_fract_x
_atom_site_fract_y
_atom_site_fract_z
_atom_site_occupancy
Co1 Co 0.000 0.000 0.000 1
P1 P 0.000 0.500 0.000 1
H1 H 0.500 0.500 0.500 1
O1 O 0.000 0.000 0.500 1
```

Distance to the lowest polymorph of the same formula: 73 kJ/mol of formula units